(1)
# HfZnSe2Br | Alexandria via LeMat-Bulk | GGA-PBE | optimized geometry
data_HfZnSe2Br
_chemical_formula_sum 'Hf1 Zn1 Se2 Br1'
_cell_length_a 5.371
_cell_length_b 5.371
_cell_length_c 4.894
_cell_angle_alpha 90.00
_cell_angle_beta 90.00
_cell_angle_gamma 90.00
_space_group_name_H-M_alt 'P 4/m m m'
_space_group_IT_number 123
_space_group_name_Hall '-P 4 2'
loop_
_atom_site_label
_atom_site_fract_x
_atom_site_fract_y
_atom_site_fract_z
Hf1 0.000 0.000 0.000
Zn1 0.500 0.500 0.000
Se1 0.000 0.500 0.500
Br1 0.000 0.000 0.500
# Fermi-level density of states = 4.991 states/eV per cell
# Calculated total energy = -15.3 eV per formula unit



(2)
# Ti12Ga6Sn | Alexandria via LeMat-Bulk | GGA-PBE | optimized geometry
data_Ti12Ga6Sn
_chemical_formula_sum 'Ti36 Ga18 Sn3'
_cell_length_a 12.4585
_cell_length_b 12.4585
_cell_length_c 7.0561
_cell_angle_alpha 90.00
_cell_angle_beta 90.00
_cell_angle_gamma 120.00
_space_group_name_H-M_alt 'R -3'
_space_group_IT_number 148
_space_group_name_Hall '-R 3'
loop_
_atom_site_label
_atom_site_fract_x
_atom_site_fract_y
_atom_site_fract_z
Ti1 0.0055 0.1355 0.1629
Ti2 0.0618 0.5713 0.1663
Ga1 0.0287 0.2718 0.8384
Sn1 0.0000 0.0000 0.5000
# Fermi-level density of states = 64.723 states/eV per cell
# Calculated total energy = -122.9 eV per formula unit
# Energy of formation from the pure elements = -0.31 eV/atom



(3)
# Cu3SiPd6 | Alexandria via LeMat-Bulk | GGA-PBE | optimized geometry
data_Cu3SiPd6
_chemical_formula_sum 'Cu6 Si2 Pd12'
_cell_length_a 7.267
_cell_length_b 5.220
_cell_length_c 10.549
_cell_angle_alpha 90.00
_cell_angle_beta 133.28
_cell_angle_gamma 90.00
_space_group_name_H-M_alt 'P 1 21/c 1'
_space_group_IT_number 14
loop_
_space_group_symop_operation_xyz
'x,y,z'
'-x,-y,-z'
'-x,y+1/2,-z+1/2'
'x,-y+1/2,z+1/2'
loop_
_atom_site_label
_atom_site_fract_x
_atom_site_fract_y
_atom_site_fract_z
Cu1 0.000 0.000 0.000
Cu2 0.246 0.233 0.752
Si1 0.500 0.000 0.500
Pd1 0.116 0.093 0.435
Pd2 0.279 0.606 0.445
Pd3 0.402 0.748 0.758
# Fermi-level density of states = 7.879 states/eV per cell
# Calculated total energy = -50.7 eV per formula unit



(4)
# LiGaSn | Alexandria via LeMat-Bulk | GGA-PBE | optimized geometry
data_LiGaSn
_chemical_formula_sum 'Li2 Ga2 Sn2'
_cell_length_a 3.130
_cell_length_b 4.433
_cell_length_c 9.159
_cell_angle_alpha 90.00
_cell_angle_beta 90.00
_cell_angle_gamma 90.00
_space_group_name_H-M_alt 'P m m m'
_space_group_IT_number 47
loop_
_space_group_symop_operation_xyz
'x,y,z'
'-x,-y,-z'
'-x,-y,z'
'x,y,-z'
'x,-y,-z'
'-x,y,z'
'-x,y,-z'
'x,-y,z'
loop_
_atom_site_label
_atom_site_fract_x
_atom_site_fract_y
_atom_site_fract_z
Li1 0.000 0.000 0.000
Li2 0.000 0.500 0.500
Ga1 0.500 0.000 0.358
Sn1 0.500 0.500 0.174
# Fermi-level density of states = 2.171 states/eV per cell
# Calculated total energy = -9.5 eV per formula unit
# Energy of formation from the pure elements = -0.18 eV/atom